A plane-wave DFT calculation with GGA-PBE was carried out for a relaxed Nd2In3Bi3 crystal.

a = 4.827 Å, b = 4.972 Å, c = 9.694 Å
α = 90.00°, β = 90.00°, γ = 90.00°
Space group Pmmm (No. 47)
Unique sites:
Nd (0.000, 0.000, 0.249) [2 per cell]
In (0.000, 0.500, 0.500) [1 per cell]
In (0.500, 0.500, 0.260) [2 per cell]
Bi (0.000, 0.500, 0.000) [1 per cell]
Bi (0.500, 0.000, 0.000) [1 per cell]
Bi (0.500, 0.000, 0.500) [1 per cell]

- VASP energy (eV per atom) = -4.118
- N(E_F) (states/eV/f.u.) = 4.22